Compound: Eu3Te12Au5
Source: Alexandria
Functional: PBE-GGA
Structure: relaxed

extended XYZ file:
```
80
Lattice="-12.6874 -1.4481 7.9582 9.9773 -10.3035 4.5487 5.6953 13.7675 2.1021" Properties=species:S:1:pos:R:3 pbc="T T T"
Eu 11.4157 1.1291 6.5515
Eu -8.4305 0.8869 8.0575
Eu -3.2995 1.6819 6.8993
Eu 0.0834 5.5568 8.2562
Eu 8.0474 5.2449 6.6719
Eu -2.9066 -7.2737 10.6377
Eu 6.2848 0.3341 7.7097
Eu 5.8918 9.2897 3.9713
Eu 2.7742 -1.4969 11.2626
Eu 2.9019 -3.5408 6.3528
Eu 0.2111 3.5129 3.3464
Eu -5.0621 -3.2289 7.9372
Te 1.6492 8.3836 7.7086
Te 4.5028 -6.0697 4.8866
Te 1.8402 1.0073 1.8713
Te -0.5148 0.9407 5.3377
Te 5.9507 -1.5259 10.4551
Te 6.2927 2.7688 5.4337
Te -1.5176 8.0856 9.7224
Te -1.2020 -10.0662 10.8372
Te -6.3681 1.5702 5.6034
Te 1.3360 -6.3677 6.9004
Te 10.1830 -4.3801 5.5936
Te 4.1873 12.0821 3.7718
Te -2.9654 3.5418 4.1540
Te 9.7947 3.2516 4.6515
Te -0.1518 -3.6534 5.0223
Te 3.5425 -0.3524 5.9444
Te 1.8108 3.5762 6.2065
Te -3.3074 -0.7528 9.1753
Te 8.3468 7.1184 3.9317
Te 8.7635 -7.8366 5.1350
Te 8.5404 -0.0688 5.3660
Te -2.2155 -4.6880 8.6517
Te -3.0968 4.8959 7.5092
Te 10.4980 3.8090 8.3076
Te -5.5551 2.0848 9.2430
Te 3.6721 -4.1641 9.4771
Te 0.2801 -6.6498 11.3884
Te -6.8094 -1.2356 9.9575
Te 3.1371 5.6693 9.5867
Te 2.7051 8.6657 3.2206
Te -0.6868 6.1800 5.1319
Te -4.0315 -1.1938 5.5073
Te -0.2275 -2.4506 12.1700
Te -0.5572 2.3684 8.6647
Te -5.7782 9.8525 9.4740
Te 3.5000 1.0752 9.2713
Te 7.0167 3.2097 9.1017
Te 9.3534 0.4457 9.0056
Te 6.0820 -2.8800 7.0998
Te 5.2007 6.7039 5.9574
Te 3.0570 -3.2790 3.0893
Te -0.0717 5.2950 11.5197
Te 1.1451 1.0087 12.7378
Te -5.3615 -5.1024 10.6773
Te -7.5127 -1.7930 6.3014
Te -7.1977 6.3960 9.0154
Te 3.2127 4.4665 2.4390
Te 1.1745 -1.5602 8.4025
Au 2.2244 -6.4787 9.4795
Au -1.1440 -2.3629 9.5999
Au 6.2702 -7.6566 6.2325
Au -1.5515 -1.3980 4.3843
Au -5.0476 4.7617 9.4144
Au -3.4960 6.1597 5.0301
Au -6.3437 -0.7240 3.9791
Au 3.5794 -0.6029 3.2261
Au -3.2850 9.6725 8.3766
Au 4.1292 4.3789 5.0091
Au 1.4926 1.0080 7.3045
Au -1.3550 -5.8758 6.2534
Au -0.5941 2.6189 11.3829
Au 4.9887 -5.1517 2.2744
Au 0.0000 0.0000 0.0000
Au 4.5368 3.4139 10.2248
Au 8.0328 -2.7458 5.1946
Au 2.8477 6.8837 1.0511
Au 7.8363 1.7320 3.3254
Au 0.7609 8.4946 5.1295
```

Summary:
formation energy without anion corrections	-0.396	eV per atom
size of the total moment	19.638	μB/f.u.